B2Mo2Os: relaxed, PBE.

Cell: 5.880 5.880 6.546 Å, 90.00 90.00 90.00°
Space group P4/mnc (No. 128)
Asymmetric unit:
B: 0.114 0.386 0.250 x8
Mo: 0.155 0.692 0.000 x8
Os: 0.000 0.000 0.288 x4

Values from the calculation:
The density of states at the Fermi level comes out at 1.95 states/eV/f.u. The energy of formation comes out at -0.33 eV per atom.